SrPrPb4: relaxed, PBE.

Cell and atoms, written as CIF:
```
data_SrPrPb4
_symmetry_space_group_name_H-M 'F -4 3 m'
_symmetry_Int_Tables_number 216
_symmetry_space_group_name_Hall 'F -4 2 3'
_cell_length_a 9.286
_cell_length_b 9.286
_cell_length_c 9.286
_cell_angle_alpha 90.00
_cell_angle_beta 90.00
_cell_angle_gamma 90.00
loop_
_atom_site_label
_atom_site_fract_x
_atom_site_fract_y
_atom_site_fract_z
Sr1 0.000 0.000 0.000
Pr1 0.250 0.250 0.750
Pb1 0.125 0.125 0.375
```

E (eV/cell): -92.06
Spin magnetization (μB/atom): 0.000